Entry 1:
# Pm7Sn5Bi GGA-PBE relaxed
# ΔH_f (0 K)	-7.06	eV per formula unit
# M_tot	0.00	Bohr magnetons per cell
# N(E_F)	18.921	states/eV/cell
# calculated volume	30.6	Å³ per atom
data_Pm7Sn5Bi
_chemical_formula_sum 'Pm14 Sn10 Bi2'
_cell_length_a 6.338
_cell_length_b 11.548
_cell_length_c 10.869
_cell_angle_alpha 90.00
_cell_angle_beta 90.00
_cell_angle_gamma 90.00
_space_group_name_H-M_alt 'I m m 2'
_space_group_IT_number 44
_space_group_name_Hall 'I 2 -2'
loop_
_atom_site_label
_atom_site_type_symbol
_atom_site_fract_x
_atom_site_fract_y
_atom_site_fract_z
Pm1 Pm 0.000 0.000 0.000
Pm2 Pm 0.000 0.000 0.395
Pm3 Pm 0.000 0.331 0.621
Pm4 Pm 0.000 0.338 0.105
Pm5 Pm 0.000 0.500 0.353
Sn1 Sn 0.000 0.500 0.859
Sn2 Sn 0.249 0.256 0.367
Bi1 Bi 0.000 0.000 0.687

=====

Entry 2:
# Pm5Sn2Bi2 GGA-PBE relaxed
# ΔH_f (0 K)	-7.60	eV per formula unit
# M_tot	0.00	Bohr magnetons per cell
# N(E_F)	28.263	states/eV/cell
# calculated volume	31.6	Å³ per atom
data_Pm5Sn2Bi2
_chemical_formula_sum 'Pm20 Sn8 Bi8'
_cell_length_a 16.017
_cell_length_b 8.410
_cell_length_c 8.443
_cell_angle_alpha 90.00
_cell_angle_beta 90.00
_cell_angle_gamma 90.00
_space_group_name_H-M_alt 'C m c e'
_space_group_IT_number 64
_space_group_name_Hall '-C 2ac 2'
loop_
_atom_site_label
_atom_site_type_symbol
_atom_site_fract_x
_atom_site_fract_y
_atom_site_fract_z
Pm1 Pm 0.000 0.000 0.000
Pm2 Pm 0.133 0.169 0.333
Sn1 Sn 0.000 0.132 0.632
Bi1 Bi 0.205 0.000 0.000

=====

Entry 3:
# Pm4SnBi5 GGA-PBE relaxed
# ΔH_f (0 K)	-6.92	eV per formula unit
# M_tot	0.00	Bohr magnetons per cell
# N(E_F)	7.123	states/eV/cell
# calculated volume	34.1	Å³ per atom
data_Pm4SnBi5
_chemical_formula_sum 'Pm8 Sn2 Bi10'
_cell_length_a 4.560
_cell_length_b 4.560
_cell_length_c 32.804
_cell_angle_alpha 90.00
_cell_angle_beta 90.00
_cell_angle_gamma 90.00
_space_group_name_H-M_alt 'I 4/m m m'
_space_group_IT_number 139
_space_group_name_Hall '-I 4 2'
loop_
_atom_site_label
_atom_site_type_symbol
_atom_site_fract_x
_atom_site_fract_y
_atom_site_fract_z
Pm1 Pm 0.000 0.000 0.101
Pm2 Pm 0.000 0.000 0.299
Sn1 Sn 0.000 0.000 0.500
Bi1 Bi 0.000 0.000 0.000
Bi2 Bi 0.000 0.000 0.201
Bi3 Bi 0.000 0.000 0.399

=====

Entry 4:
# Pm2SnBi4 GGA-PBE relaxed
# relative energy among the computed polymorphs	0.028	eV/atom
# ΔH_f (0 K)	-3.12	eV per formula unit
# M_tot	0.00	Bohr magnetons per cell
# N(E_F)	8.165	states/eV/cell
# calculated volume	32.6	Å³ per atom
data_Pm2SnBi4
_chemical_formula_sum 'Pm4 Sn2 Bi8'
_cell_length_a 9.094
_cell_length_b 10.067
_cell_length_c 6.730
_cell_angle_alpha 90.00
_cell_angle_beta 132.12
_cell_angle_gamma 90.00
_space_group_name_H-M_alt 'C 1 2/m 1'
_space_group_IT_number 12
_space_group_name_Hall '-C 2y'
loop_
_atom_site_label
_atom_site_type_symbol
_atom_site_fract_x
_atom_site_fract_y
_atom_site_fract_z
Pm1 Pm 0.250 0.250 0.000
Sn1 Sn 0.000 0.000 0.500
Bi1 Bi 0.000 0.000 0.000
Bi2 Bi 0.000 0.500 0.000
Bi3 Bi 0.250 0.250 0.500

=====

Entry 5:
# Pm8Sn4Bi3 GGA-PBE relaxed
# ΔH_f (0 K)	-9.73	eV per formula unit
# M_tot	1.29	Bohr magnetons per cell
# N(E_F)	20.148	states/eV/cell
# calculated volume	34.9	Å³ per atom
data_Pm8Sn4Bi3
_chemical_formula_sum 'Pm16 Sn8 Bi6'
_cell_length_a 12.789
_cell_length_b 12.809
_cell_length_c 9.039
_cell_angle_alpha 90.00
_cell_angle_beta 134.94
_cell_angle_gamma 90.00
_space_group_name_H-M_alt 'C 1 2/m 1'
_space_group_IT_number 12
_space_group_name_Hall '-C 2y'
loop_
_atom_site_label
_atom_site_type_symbol
_atom_site_fract_x
_atom_site_fract_y
_atom_site_fract_z
Pm1 Pm 0.000 0.242 0.000
Pm2 Pm 0.000 0.251 0.500
Pm3 Pm 0.244 0.000 0.005
Pm4 Pm 0.245 0.000 0.486
Sn1 Sn 0.000 0.000 0.000
Sn2 Sn 0.000 0.500 0.500
Sn3 Sn 0.250 0.250 0.500
Bi1 Bi 0.000 0.000 0.500
Bi2 Bi 0.250 0.250 0.000

=====

Entry 6:
# Pm6Sn3Bi GGA-PBE relaxed
# ΔH_f (0 K)	-5.29	eV per formula unit
# M_tot	0.00	Bohr magnetons per cell
# N(E_F)	40.116	states/eV/cell
# calculated volume	32.9	Å³ per atom
data_Pm6Sn3Bi
_chemical_formula_sum 'Pm24 Sn12 Bi4'
_cell_length_a 10.552
_cell_length_b 15.627
_cell_length_c 7.971
_cell_angle_alpha 90.00
_cell_angle_beta 90.00
_cell_angle_gamma 90.00
_space_group_name_H-M_alt 'C m c 21'
_space_group_IT_number 36
_space_group_name_Hall 'C 2c -2'
loop_
_atom_site_label
_atom_site_type_symbol
_atom_site_fract_x
_atom_site_fract_y
_atom_site_fract_z
Pm1 Pm 0.000 0.024 0.000
Pm2 Pm 0.000 0.284 0.102
Pm3 Pm 0.200 0.290 0.505
Pm4 Pm 0.209 0.457 0.144
Sn1 Sn 0.000 0.436 0.422
Sn2 Sn 0.151 0.121 0.297
Bi1 Bi 0.000 0.172 0.739

=====

Entry 7:
# Pm4SnBi GGA-PBE relaxed
# ΔH_f (0 K)	-2.62	eV per formula unit
# M_tot	0.00	Bohr magnetons per cell
# N(E_F)	14.117	states/eV/cell
# calculated volume	34.8	Å³ per atom
data_Pm4SnBi
_chemical_formula_sum 'Pm8 Sn2 Bi2'
_cell_length_a 9.156
_cell_length_b 5.297
_cell_length_c 9.126
_cell_angle_alpha 90.00
_cell_angle_beta 109.41
_cell_angle_gamma 90.00
_space_group_name_H-M_alt 'C 1 2/m 1'
_space_group_IT_number 12
_space_group_name_Hall '-C 2y'
loop_
_atom_site_label
_atom_site_type_symbol
_atom_site_fract_x
_atom_site_fract_y
_atom_site_fract_z
Pm1 Pm 0.123 0.000 0.369
Pm2 Pm 0.127 0.500 0.882
Sn1 Sn 0.000 0.000 0.000
Bi1 Bi 0.000 0.500 0.500

=====

Entry 8:
# PmSnBi2 GGA-PBE relaxed
# relative energy among the computed polymorphs	0.193	eV/atom
# ΔH_f (0 K)	-1.01	eV per formula unit
# M_tot	0.00	Bohr magnetons per cell
# N(E_F)	9.686	states/eV/cell
# calculated volume	31.1	Å³ per atom
data_PmSnBi2
_chemical_formula_sum 'Pm4 Sn4 Bi8'
_cell_length_a 7.924
_cell_length_b 7.924
_cell_length_c 7.924
_cell_angle_alpha 90.00
_cell_angle_beta 90.00
_cell_angle_gamma 90.00
_space_group_name_H-M_alt 'F m -3 m'
_space_group_IT_number 225
_space_group_name_Hall '-F 4 2 3'
loop_
_atom_site_label
_atom_site_type_symbol
_atom_site_fract_x
_atom_site_fract_y
_atom_site_fract_z
Pm1 Pm 0.000 0.000 0.000
Sn1 Sn 0.000 0.000 0.500
Bi1 Bi 0.250 0.250 0.250

=====

Entry 9:
# PmSnBi4 GGA-PBE relaxed
# ΔH_f (0 K)	-1.02	eV per formula unit
# M_tot	0.00	Bohr magnetons per cell
# N(E_F)	12.517	states/eV/cell
# calculated volume	36.0	Å³ per atom
data_PmSnBi4
_chemical_formula_sum 'Pm4 Sn4 Bi16'
_cell_length_a 6.858
_cell_length_b 9.245
_cell_length_c 13.624
_cell_angle_alpha 90.00
_cell_angle_beta 90.00
_cell_angle_gamma 90.00
_space_group_name_H-M_alt 'I m m a'
_space_group_IT_number 74
_space_group_name_Hall '-I 2b 2'
loop_
_atom_site_label
_atom_site_type_symbol
_atom_site_fract_x
_atom_site_fract_y
_atom_site_fract_z
Pm1 Pm 0.000 0.250 0.138
Sn1 Sn 0.000 0.250 0.617
Bi1 Bi 0.232 0.000 0.000
Bi2 Bi 0.250 0.016 0.750

=====

Entry 10:
# Pm8Sn3Bi2 GGA-PBE relaxed
# ΔH_f (0 K)	-4.97	eV per formula unit
# M_tot	0.00	Bohr magnetons per cell
# N(E_F)	24.989	states/eV/cell
# calculated volume	39.7	Å³ per atom
data_Pm8Sn3Bi2
_chemical_formula_sum 'Pm16 Sn6 Bi4'
_cell_length_a 16.372
_cell_length_b 8.636
_cell_length_c 7.709
_cell_angle_alpha 90.00
_cell_angle_beta 108.75
_cell_angle_gamma 90.00
_space_group_name_H-M_alt 'C 1 2/m 1'
_space_group_IT_number 12
_space_group_name_Hall '-C 2y'
loop_
_atom_site_label
_atom_site_type_symbol
_atom_site_fract_x
_atom_site_fract_y
_atom_site_fract_z
Pm1 Pm 0.080 0.000 0.287
Pm2 Pm 0.107 0.500 0.419
Pm3 Pm 0.114 0.250 0.905
Sn1 Sn 0.000 0.230 0.500
Sn2 Sn 0.000 0.500 0.000
Bi1 Bi 0.248 0.500 0.836

=====

Repeat the first record exactly.
# Pm7Sn5Bi GGA-PBE relaxed
# ΔH_f (0 K)	-7.06	eV per formula unit
# M_tot	0.00	Bohr magnetons per cell
# N(E_F)	18.921	states/eV/cell
# calculated volume	30.6	Å³ per atom
data_Pm7Sn5Bi
_chemical_formula_sum 'Pm14 Sn10 Bi2'
_cell_length_a 6.338
_cell_length_b 11.548
_cell_length_c 10.869
_cell_angle_alpha 90.00
_cell_angle_beta 90.00
_cell_angle_gamma 90.00
_space_group_name_H-M_alt 'I m m 2'
_space_group_IT_number 44
_space_group_name_Hall 'I 2 -2'
loop_
_atom_site_label
_atom_site_type_symbol
_atom_site_fract_x
_atom_site_fract_y
_atom_site_fract_z
Pm1 Pm 0.000 0.000 0.000
Pm2 Pm 0.000 0.000 0.395
Pm3 Pm 0.000 0.331 0.621
Pm4 Pm 0.000 0.338 0.105
Pm5 Pm 0.000 0.500 0.353
Sn1 Sn 0.000 0.500 0.859
Sn2 Sn 0.249 0.256 0.367
Bi1 Bi 0.000 0.000 0.687

=====

The highest calculated volume belongs to which entry?
Pm8Sn3Bi2